Entry 1:
# Ac2Tl3Ge2 | the Alexandria database | PBE-GGA | optimized geometry
# Total magnetic moment, μB per formula unit: 0.0
# Uncorrected energy, eV/atom: -3.93
# ΔE to the lowest computed polymorph, eV/atom: 0.000
# Calculated formation energy, kJ/mol of formula units: -285
data_Ac2Tl3Ge2
_space_group_name_H-M_alt 'C 1 2/m 1'
_space_group_IT_number 12
_space_group_name_Hall '-C 2y'
_cell_length_a 11.559
_cell_length_b 4.717
_cell_length_c 7.661
_cell_angle_alpha 90.00
_cell_angle_beta 99.35
_cell_angle_gamma 90.00
loop_
_atom_site_label
_atom_site_fract_x
_atom_site_fract_y
_atom_site_fract_z
Ac1 0.121 0.000 0.326
Tl1 0.000 0.500 0.000
Tl2 0.190 0.000 0.855
Ge1 0.092 0.500 0.613

---

Entry 2:
# Ac4TlGe | the Alexandria database | PBE-GGA | optimized geometry
# Total magnetic moment, μB per formula unit: 0.0
# Uncorrected energy, eV/atom: -4.25
# ΔE to the lowest computed polymorph, eV/atom: 0.000
# Calculated formation energy, kJ/mol of formula units: -200
data_Ac4TlGe
_space_group_name_H-M_alt 'P 1 21/m 1'
_space_group_IT_number 11
_space_group_name_Hall '-P 2yb'
_cell_length_a 6.899
_cell_length_b 7.387
_cell_length_c 9.636
_cell_angle_alpha 90.00
_cell_angle_beta 110.37
_cell_angle_gamma 90.00
loop_
_atom_site_label
_atom_site_fract_x
_atom_site_fract_y
_atom_site_fract_z
Ac1 0.013 0.001 0.246
Ac2 0.418 0.250 0.082
Ac3 0.423 0.250 0.628
Tl1 0.248 0.750 0.565
Ge1 0.211 0.750 0.049